Model a:
The following is a DFT calculation (SCAN) of a crystal of LaSc3B4O12 relaxed with PBEsol.

Geometry as POSCAR:
```
LaSc3B4O12
1.0
4.7567 2.7463 2.8095
-4.7567 2.7463 2.8095
0.0000 -5.4926 2.8095
La Sc B O
1 3 4 12
Cartesian
0.0000 0.0000 0.0000
-2.4021 -1.3321 2.8095
2.3546 -1.4142 2.8095
0.0474 2.7463 2.8095
-2.3384 -4.0502 4.2143
0.0000 0.0000 4.2143
-2.3384 4.0502 4.2143
4.6768 0.0000 4.2143
-0.7841 -1.5775 1.5647
-3.4513 0.0000 4.2143
-0.9741 1.4678 1.5647
-0.6948 -1.2035 4.2143
1.7582 0.1097 1.5647
1.7256 -2.9889 4.2143
-0.6948 1.2035 4.2143
-0.9741 -1.4678 6.8639
1.3896 0.0000 4.2143
-0.7841 1.5775 6.8639
1.7256 2.9889 4.2143
1.7582 -0.1097 6.8639
```

- Total magnetic moment: 0.00 μB/atom
- Symmetry: No. 155

***

Model b:
The following is a DFT calculation (SCAN) of a crystal of LaSc3B4O12 relaxed with PBEsol.

Geometry as POSCAR:
```
LaSc3B4O12
1.0
3.8377 -4.9502 0.0000
3.8377 4.9502 0.0000
-3.1301 0.0000 11.6100
La Sc B O
2 6 8 24
Cartesian
2.2727 4.5432 5.8050
3.8377 -4.5432 0.0000
2.7750 2.4738 2.5967
1.7929 2.4638 9.0209
3.8423 0.7320 0.0027
2.2772 -0.7320 5.8077
1.2100 -2.4738 8.4017
3.3580 -2.4638 3.2159
0.6539 1.9218 6.0899
-0.4560 0.2399 8.7019
1.1091 -0.2399 2.8969
2.2189 -1.9218 0.2849
3.9074 1.9238 5.5273
5.0208 0.2523 2.9159
3.4557 -0.2523 8.7209
2.3424 -1.9238 11.3323
-1.3774 0.8998 7.9102
2.4488 2.2373 0.5135
1.1254 1.1442 2.8219
1.4468 2.5515 7.0178
0.1876 -0.8998 2.1052
0.6734 0.5613 5.8857
0.4346 0.9262 9.5083
3.1207 2.5621 4.6003
2.2384 -0.5613 0.0807
-0.4397 -1.1442 8.6269
2.1231 2.2262 11.1049
1.9997 -0.9262 3.7033
4.1298 0.9336 2.1063
0.8837 -2.2373 6.3185
3.4435 1.1320 8.8009
3.8768 0.5634 5.7280
3.0118 -2.5515 1.2128
2.5648 -0.9336 7.9113
2.3118 -0.5634 11.5331
5.9376 0.9164 3.7091
1.5556 -2.5621 10.4053
5.0086 -1.1320 2.9959
3.6881 -2.2262 5.2999
4.3726 -0.9164 9.5141
```

- Total magnetic moment: 0.00 μB/atom
- Symmetry: No. 9

***

Going by the computed energies, the most stable comes first: model b, model a.

***

Model a:
The following is a DFT calculation (SCAN) of a crystal of Li6B4O9 relaxed with PBEsol.

Geometry as POSCAR:
```
Li6B4O9
1.0
3.2966 0.0000 0.0000
0.0000 23.3374 0.0000
-2.7874 0.0000 9.1535
Li B O
24 16 36
Cartesian
-0.8582 1.3269 4.1917
-2.2519 10.3418 8.7684
-0.4178 16.5062 2.8043
-1.8116 18.5000 7.3810
-0.5482 12.6561 4.4829
-1.9419 22.3500 9.0597
-0.8063 4.7460 5.9128
0.5875 6.9228 1.3361
1.1017 15.0040 0.2248
-0.2921 20.0021 4.8016
0.6907 2.8390 1.6697
-0.7030 8.8297 6.2464
1.2122 14.5077 2.9071
-0.1815 20.4984 7.4839
0.8012 3.3353 4.3520
-0.5925 8.3334 8.9287
-0.0783 16.4147 7.8175
1.3154 18.5915 3.2407
2.4510 0.9874 0.0938
1.0573 10.6813 4.6706
2.3207 4.8375 1.7725
0.9270 6.8312 6.3493
2.7611 12.9956 0.3851
1.3673 22.0105 4.9618
-0.7525 1.9994 6.4207
0.6412 9.6693 1.8440
-0.3298 15.1260 5.1849
1.0639 19.8802 0.6082
1.1620 17.3274 0.7911
-0.2317 17.6788 5.3678
0.9698 12.2220 2.1809
-0.4239 22.7842 6.7577
0.9330 0.5533 2.3958
-0.4607 11.1155 6.9726
0.7409 5.6587 3.7857
-0.6529 6.0100 8.3624
-0.5548 3.4572 8.5453
0.8389 8.2115 3.9686
-0.1320 13.6681 7.3096
1.2617 21.3381 2.7328
-0.4572 14.9547 3.8669
-1.8509 20.0514 8.4437
-0.8585 2.8881 5.4192
0.5352 8.7806 0.8424
-1.7334 17.0526 8.6220
-0.3397 17.9535 4.0452
-0.8184 0.6412 6.0597
0.5754 11.0276 1.4830
0.7869 0.6138 1.0618
-0.6068 11.0549 5.6386
-0.3300 13.9516 5.9675
1.0638 21.0545 1.3907
0.6684 4.6932 2.8200
-0.7253 6.9755 7.3967
1.1255 13.2992 1.3431
-0.2682 21.7069 5.9198
-0.1873 16.3305 5.8689
1.2064 18.6757 1.2921
-0.6973 4.6618 7.8614
0.6965 7.0070 3.2846
0.7773 1.6305 3.2337
-0.6164 10.0382 7.8104
1.2345 16.3619 1.7568
-0.1592 18.6442 6.3336
-0.5546 2.2829 7.7628
0.8391 9.3858 3.1861
1.1160 12.2825 3.5149
-0.2777 22.7237 8.0917
-0.0662 12.3099 7.6705
1.3275 22.6963 3.0938
0.8489 5.3839 5.1083
2.2426 6.2848 0.5315
-0.0261 14.5568 8.3111
1.3677 20.4494 3.7343
2.3600 3.2860 0.7098
0.9663 8.3827 5.2866
```

- Total magnetic moment: 0.00 μB/atom
- Symmetry: No. 14

***

Model b:
The following is a DFT calculation (SCAN) of a crystal of Li6B4O9 relaxed with PBEsol.

Geometry as POSCAR:
```
Li6B4O9
1.0
6.5090 0.0000 0.0000
-1.0754 6.9437 0.0000
-1.4120 -0.9214 8.2931
Li B O
12 8 18
Cartesian
0.1611 1.3374 0.1814
-0.1794 0.0560 3.1824
-1.0378 4.0534 5.9365
0.2268 4.1948 3.6600
0.7213 2.4776 7.1198
1.8317 1.7772 2.2332
2.1899 4.2451 6.0599
3.3003 3.5448 1.1733
3.7949 1.8276 4.6331
5.0594 1.9690 2.3566
4.2011 5.9663 5.1107
3.8606 4.6850 8.1117
0.7561 3.9558 0.5789
0.4509 6.0640 1.7607
0.5872 2.0901 4.7155
1.3341 -0.2891 5.3379
2.6876 6.3114 2.9552
3.4345 3.9323 3.5776
3.5708 -0.0417 6.5324
3.2655 2.0666 7.7141
-0.6222 6.7458 1.3571
-1.0090 3.6514 7.7220
0.2358 1.9081 3.4180
-0.4623 5.8460 4.5428
0.5048 4.6592 1.8164
1.4926 2.7997 0.6263
0.6135 3.3162 5.3072
0.9642 1.0324 5.5913
2.6108 -0.1546 2.3111
1.4109 6.1769 5.9820
3.0575 4.9899 2.7018
3.4082 2.7061 2.9858
2.5291 3.2226 7.6668
3.5169 1.3631 6.4767
4.4840 0.1763 3.7502
3.7858 4.1142 4.8751
5.0306 2.3709 0.5711
4.6439 -0.7234 6.9359
```

- Total magnetic moment: 0.00 μB/atom
- Symmetry: No. 2

***

Going by the computed energies, the most stable comes first: model a, model b.

***

Model a:
The following is a DFT calculation (SCAN) of a crystal of Li5BO4 relaxed with PBEsol.

Geometry as POSCAR:
```
Li5BO4
1.0
5.8696 0.0000 0.0000
0.0000 5.9979 0.0000
0.0000 0.0000 4.5204
Li B O
10 2 8
Cartesian
0.0590 0.3117 1.0895
0.0590 2.6872 1.0895
1.4674 4.4984 1.4741
2.8758 0.3117 1.0895
2.8758 2.6872 1.0895
2.9938 3.3107 3.4309
2.9938 5.6862 3.4309
4.4022 1.4995 3.0463
5.8106 3.3107 3.4309
5.8106 5.6862 3.4309
1.4674 1.4995 3.2568
4.4022 4.4984 1.2636
0.2071 1.4995 4.0903
1.4674 0.2421 2.4046
1.4674 2.7568 2.4046
2.7277 1.4995 4.0903
3.1420 4.4984 0.4301
4.4022 3.2411 2.1158
4.4022 5.7558 2.1158
5.6625 4.4984 0.4301
```

- Total magnetic moment: 0.00 μB/atom
- Symmetry: No. 59

***

Model b:
The following is a DFT calculation (SCAN) of a crystal of Li5BO4 relaxed with PBEsol.

Geometry as POSCAR:
```
Li5BO4
1.0
8.4826 0.0000 0.0000
0.0000 8.5540 0.0000
0.0000 0.0000 8.8262
Li B O
40 8 32
Cartesian
0.6202 0.7497 0.8693
0.6202 3.5273 5.2824
0.8227 5.8503 7.6684
0.8227 6.9808 3.2553
1.1276 0.6807 3.0645
1.1276 3.5964 7.4776
1.1639 5.4816 1.2319
1.1639 7.3495 5.6450
1.5730 1.0905 5.1894
1.5730 3.1865 0.7763
2.6683 5.3675 5.1894
2.6683 7.4635 0.7763
3.0774 1.2045 1.2319
3.0774 3.0725 5.6450
3.1137 4.9577 3.0645
3.1137 7.8734 7.4776
3.4186 1.5733 7.6684
3.4186 2.7037 3.2553
3.6211 5.0267 0.8693
3.6211 7.8044 5.2824
4.8615 0.7497 3.5438
4.8615 3.5273 7.9569
5.0640 5.8503 5.5709
5.0640 6.9808 1.1578
5.3689 0.6807 1.3486
5.3689 3.5964 5.7617
5.4052 5.4816 3.1812
5.4052 7.3495 7.5943
5.8143 1.0905 8.0499
5.8143 3.1865 3.6368
6.9096 5.3675 8.0499
6.9096 7.4635 3.6368
7.3187 1.2045 3.1812
7.3187 3.0725 7.5943
7.3550 4.9577 1.3486
7.3550 7.8734 5.7617
7.6599 1.5733 5.5709
7.6599 2.7037 1.1578
7.8624 5.0267 3.5438
7.8624 7.8044 7.9569
1.1000 1.2387 7.5468
1.1000 3.0383 3.1337
3.1413 5.5158 7.5468
3.1413 7.3153 3.1337
5.3413 1.2387 5.6925
5.3413 3.0383 1.2794
7.3826 5.5158 5.6925
7.3826 7.3153 1.2794
0.2467 2.1158 8.4444
0.2467 2.1613 4.0313
0.3132 0.3075 6.6573
0.3132 3.9695 2.2442
1.8946 2.1377 2.2574
1.8946 2.1393 6.6705
2.0368 0.4590 8.4922
2.0368 3.8180 4.0791
2.2045 4.7360 8.4922
2.2045 8.0950 4.0791
2.3467 6.4147 2.2574
2.3467 6.4163 6.6705
3.9281 4.5845 6.6573
3.9281 8.2465 2.2442
3.9946 6.3928 8.4444
3.9946 6.4383 4.0313
4.4880 2.1158 4.7949
4.4880 2.1613 0.3818
4.5545 0.3075 6.5820
4.5545 3.9695 2.1689
6.1359 2.1377 2.1557
6.1359 2.1393 6.5688
6.2781 0.4590 4.7471
6.2781 3.8180 0.3340
6.4458 4.7360 4.7471
6.4458 8.0950 0.3340
6.5880 6.4147 2.1557
6.5880 6.4163 6.5688
8.1694 4.5845 6.5820
8.1694 8.2465 2.1689
8.2359 6.3928 4.7949
8.2359 6.4383 0.3818
```

- Total magnetic moment: 0.00 μB/atom
- Symmetry: No. 61

***

Going by the computed energies, the most stable comes first: model a, model b.

***

Model a:
The following is a DFT calculation (SCAN) of a crystal of Li3SnB2O6 relaxed with PBEsol.

Geometry as POSCAR:
```
Li3SnB2O6
1.0
8.7726 0.0000 0.0000
0.0000 6.3280 0.0000
-4.4288 0.0000 8.8960
Li Sn B O
12 4 8 24
Cartesian
-1.2215 1.5635 4.2719
-3.4359 1.6005 8.7198
1.0886 3.5439 1.4963
-1.1258 5.9481 5.9443
0.5793 4.5786 4.8331
2.7937 4.9134 0.3851
1.5502 1.4146 8.5109
3.7645 1.7494 4.0629
5.4697 0.3799 2.9517
3.2553 2.7841 7.3996
7.7798 4.7275 0.1761
5.5654 4.7645 4.6241
1.3723 0.2261 2.7070
-0.8421 2.9379 7.1550
5.1859 3.3900 1.7410
2.9715 6.1019 6.1890
-3.2769 4.1927 7.3093
-1.0625 5.2992 2.8613
3.4262 1.0619 1.0369
1.2118 2.1021 5.4849
3.1320 4.2258 3.4110
0.9176 5.2661 7.8590
5.4063 1.0287 6.0347
7.6207 2.1353 1.5867
-2.3464 4.4660 6.3177
-0.1320 5.0259 1.8697
-2.0222 1.3410 6.1090
0.1922 1.8230 1.6610
-2.7979 3.5218 8.4339
-0.5835 5.9701 3.9859
2.3101 0.4220 0.5455
0.0957 2.7420 4.9935
2.8384 4.1163 2.0768
0.6240 5.3756 6.5248
2.0188 1.2931 4.6834
4.2332 1.8708 0.2354
0.1107 4.4571 8.6606
2.3250 5.0348 4.2126
3.7199 0.9523 2.3712
1.5055 2.2116 6.8191
4.2481 3.5860 3.9024
2.0338 5.9060 8.3504
4.9273 0.3578 4.9100
7.1417 2.8062 0.4621
4.1517 4.5050 7.2349
6.3661 4.9870 2.7869
4.4758 1.3020 7.0262
6.6902 1.8620 2.5782
```

- Total magnetic moment: 0.00 μB/atom
- Symmetry: No. 14

***

Model b:
The following is a DFT calculation (SCAN) of a crystal of Li3SnB2O6 relaxed with PBEsol.

Geometry as POSCAR:
```
Li3SnB2O6
1.0
4.9523 0.0000 0.0000
0.0114 7.1547 0.0000
0.3041 2.7954 7.3996
Li Sn B O
6 2 4 12
Cartesian
0.9560 2.7896 2.8324
1.1266 8.8062 5.5541
1.6164 0.7995 0.4541
3.6514 9.1505 6.9455
4.1412 1.1438 1.8456
4.3118 7.1605 4.5672
2.0383 5.0714 4.9695
3.2296 4.8786 2.4301
0.7905 5.2127 0.7912
1.8090 7.4136 3.1576
3.4588 2.5364 4.2421
4.4773 4.7374 6.6084
0.9341 4.7329 6.5927
1.0523 0.9716 2.2919
1.2871 6.9734 4.4008
1.4080 4.3479 1.7027
1.7712 8.8135 7.3545
2.1289 2.8974 4.5251
3.1389 7.0527 2.8745
3.4967 1.1365 0.0452
3.8598 5.6022 5.6969
3.9807 2.9767 2.9988
4.2155 8.9785 5.1077
4.3337 5.2171 0.8069
```

- Total magnetic moment: 0.00 μB/atom
- Symmetry: No. 2

***

Going by the computed energies, the most stable comes first: model b, model a.